# Tb2Tm5Mg, optimized geometry, DFT GGA-PBE
data_Tb2Tm5Mg
_cell_length_a 13.9503
_cell_length_b 9.7223
_cell_length_c 3.5024
_cell_angle_alpha 90.00
_cell_angle_beta 90.08
_cell_angle_gamma 90.00
_space_group_name_H-M_alt 'C 1 2/m 1'
_space_group_IT_number 12
loop_
_space_group_symop_operation_xyz
'x,y,z'
'-x,-y,-z'
'-x,y,-z'
'x,-y,z'
'x+1/2,y+1/2,z'
'-x+1/2,-y+1/2,-z'
'-x+1/2,y+1/2,-z'
'x+1/2,-y+1/2,z'
loop_
_atom_site_label
_atom_site_fract_x
_atom_site_fract_y
_atom_site_fract_z
_atom_site_occupancy
Tb1 0.2436 0.0000 0.0003 1
Tm1 0.0000 0.0000 0.0000 1
Tm2 0.1241 0.2556 0.4998 1
Mg1 0.0000 0.5000 0.0000 1
# magnetization = 0.0 μB per formula unit
# formation enthalpy at 0 K = 20 meV per atom
# relative energy among the computed polymorphs = 0.0000 eV per atom